Entry 1:
{"formula": "SiTeRh", "functional": "PBE-GGA", "state": "optimized geometry", "spacegroup": "P2_1/c", "e_form_raw_kj_per_mol_fu": -151, "lattice": [[6.4036, 0.0000, 0.0000], [0.0000, 6.3153, 0.0000], [-2.6900, 0.0000, 5.7933]], "species": ["Si", "Si", "Si", "Si", "Te", "Te", "Te", "Te", "Rh", "Rh", "Rh", "Rh"], "frac_coords": [[0.1422, 0.1489, 0.3338], [0.1422, 0.3511, 0.8338], [0.8578, 0.6489, 0.1662], [0.8578, 0.8511, 0.6662], [0.3389, 0.6196, 0.6466], [0.3389, 0.8804, 0.1466], [0.6611, 0.1196, 0.8534], [0.6611, 0.3804, 0.3534], [0.2119, 0.0144, 0.7086], [0.2119, 0.4856, 0.2086], [0.7881, 0.5144, 0.7914], [0.7881, 0.9856, 0.2914]]}

***

Entry 2:
{"formula": "SiTe3Rh", "functional": "PBE-GGA", "state": "optimized geometry", "spacegroup": "Pm-3m", "dos_ef_per_ev_cell": 5.93, "e_form_raw_kj_per_mol_fu": 294, "lattice": [[5.1993, 0.0000, 0.0000], [0.0000, 5.1993, 0.0000], [0.0000, 0.0000, 5.1993]], "species": ["Si", "Te", "Te", "Te", "Rh"], "frac_coords": [[0.0000, 0.0000, 0.0000], [0.0000, 0.5000, 0.5000], [0.5000, 0.0000, 0.5000], [0.5000, 0.5000, 0.0000], [0.5000, 0.5000, 0.5000]]}

***

Entry 3:
{"formula": "Si2TeRh", "functional": "PBE-GGA", "state": "optimized geometry", "spacegroup": "Cmmm", "dos_ef_per_ev_cell": 4.18, "e_form_raw_kj_per_mol_fu": 17, "lattice": [[5.1767, 0.0000, 0.0000], [0.0000, 6.2180, 0.0000], [0.0000, 0.0000, 4.4915]], "species": ["Si", "Si", "Si", "Si", "Te", "Te", "Rh", "Rh"], "frac_coords": [[0.0000, 0.1977, 0.0000], [0.0000, 0.8023, 0.0000], [0.5000, 0.3023, 0.0000], [0.5000, 0.6977, 0.0000], [0.0000, 0.5000, 0.5000], [0.5000, 0.0000, 0.5000], [0.0000, 0.0000, 0.5000], [0.5000, 0.5000, 0.5000]]}

***

Entry 4:
{"formula": "Si2TeRh", "functional": "PBE-GGA", "state": "optimized geometry", "spacegroup": "Cmmm", "dos_ef_per_ev_cell": 5.16, "e_form_raw_kj_per_mol_fu": 149, "lattice": [[5.6651, 0.0000, 0.0000], [0.0000, 7.4956, 0.0000], [0.0000, 0.0000, 3.2733]], "species": ["Si", "Si", "Si", "Si", "Te", "Te", "Rh", "Rh"], "frac_coords": [[0.2500, 0.2500, 0.0000], [0.2500, 0.7500, 0.0000], [0.7500, 0.2500, 0.0000], [0.7500, 0.7500, 0.0000], [0.0000, 0.0000, 0.5000], [0.5000, 0.5000, 0.5000], [0.0000, 0.5000, 0.5000], [0.5000, 0.0000, 0.5000]]}

***

Entry 5:
{"formula": "SiTeRh", "functional": "PBE-GGA", "state": "optimized geometry", "spacegroup": "I4mm", "dos_ef_per_ev_cell": 1.98, "e_form_raw_kj_per_mol_fu": -83, "lattice": [[3.0782, 0.0000, 0.0000], [0.0000, 3.0782, 0.0000], [0.0000, 0.0000, 12.9662]], "species": ["Si", "Si", "Te", "Te", "Rh", "Rh"], "frac_coords": [[0.0000, 0.0000, 0.0000], [0.5000, 0.5000, 0.5000], [0.0000, 0.0000, 0.7925], [0.5000, 0.5000, 0.2925], [0.0000, 0.0000, 0.5753], [0.5000, 0.5000, 0.0753]]}

***

Entry 6:
{"formula": "SiTe4Rh", "functional": "PBE-GGA", "state": "optimized geometry", "spacegroup": "F-43m", "dos_ef_per_ev_cell": 7.67, "e_form_raw_kj_per_mol_fu": 640, "lattice": [[0.0000, 4.3476, 4.3476], [4.3476, 0.0000, 4.3476], [4.3476, 4.3476, 0.0000]], "species": ["Si", "Te", "Te", "Te", "Te", "Rh"], "frac_coords": [[0.0000, 0.0000, 0.0000], [0.1280, 0.6240, 0.6240], [0.6240, 0.1280, 0.6240], [0.6240, 0.6240, 0.1280], [0.6240, 0.6240, 0.6240], [0.2500, 0.2500, 0.2500]]}

***

Entry 7:
{"formula": "Si2TeRh", "functional": "PBE-GGA", "state": "optimized geometry", "spacegroup": "P4/mmm", "dos_ef_per_ev_cell": 3.02, "e_form_raw_kj_per_mol_fu": 153, "lattice": [[3.8093, 0.0000, 0.0000], [0.0000, 3.8093, 0.0000], [0.0000, 0.0000, 4.9917]], "species": ["Si", "Si", "Te", "Rh"], "frac_coords": [[0.0000, 0.5000, 0.0000], [0.5000, 0.0000, 0.0000], [0.0000, 0.0000, 0.5000], [0.5000, 0.5000, 0.5000]]}

***

Entry 8:
{"formula": "SiTeRh", "functional": "PBE-GGA", "state": "optimized geometry", "spacegroup": "I4mm", "dos_ef_per_ev_cell": 4.48, "e_form_raw_kj_per_mol_fu": -1, "lattice": [[3.0544, 0.0000, 0.0000], [0.0000, 3.0544, 0.0000], [0.0000, 0.0000, 12.1634]], "species": ["Si", "Si", "Te", "Te", "Rh", "Rh"], "frac_coords": [[0.0000, 0.0000, 0.0000], [0.5000, 0.5000, 0.5000], [0.0000, 0.0000, 0.7213], [0.5000, 0.5000, 0.2213], [0.0000, 0.0000, 0.3995], [0.5000, 0.5000, 0.8995]]}

***

Entry 9:
{"formula": "SiTeRh3", "functional": "PBE-GGA", "state": "optimized geometry", "spacegroup": "Pm-3m", "dos_ef_per_ev_cell": 6.69, "e_form_raw_kj_per_mol_fu": 67, "lattice": [[4.4838, 0.0000, 0.0000], [0.0000, 4.4838, 0.0000], [0.0000, 0.0000, 4.4838]], "species": ["Si", "Te", "Rh", "Rh", "Rh"], "frac_coords": [[0.0000, 0.0000, 0.0000], [0.5000, 0.5000, 0.5000], [0.0000, 0.0000, 0.5000], [0.0000, 0.5000, 0.0000], [0.5000, 0.0000, 0.0000]]}

***

Entry 10:
{"formula": "Si2TeRh", "functional": "PBE-GGA", "state": "optimized geometry", "spacegroup": "I4/mmm", "dos_ef_per_ev_cell": 3.07, "e_form_raw_kj_per_mol_fu": 153, "lattice": [[4.1648, 0.0000, 0.0000], [0.0000, 4.1648, 0.0000], [0.0000, 0.0000, 8.0829]], "species": ["Si", "Si", "Si", "Si", "Te", "Te", "Rh", "Rh"], "frac_coords": [[0.0000, 0.5000, 0.2500], [0.0000, 0.5000, 0.7500], [0.5000, 0.0000, 0.2500], [0.5000, 0.0000, 0.7500], [0.0000, 0.0000, 0.0000], [0.5000, 0.5000, 0.5000], [0.0000, 0.0000, 0.5000], [0.5000, 0.5000, 0.0000]]}

***

Entry 11:
{"formula": "Si3TeRh", "functional": "PBE-GGA", "state": "optimized geometry", "spacegroup": "Pm-3m", "dos_ef_per_ev_cell": 1.93, "e_form_raw_kj_per_mol_fu": 86, "lattice": [[4.6788, 0.0000, 0.0000], [0.0000, 4.6788, 0.0000], [0.0000, 0.0000, 4.6788]], "species": ["Si", "Si", "Si", "Te", "Rh"], "frac_coords": [[0.0000, 0.0000, 0.5000], [0.0000, 0.5000, 0.0000], [0.5000, 0.0000, 0.0000], [0.5000, 0.5000, 0.5000], [0.0000, 0.0000, 0.0000]]}

***

Entry 12:
{"formula": "SiTeRh", "functional": "PBE-GGA", "state": "optimized geometry", "spacegroup": "F-43m", "dos_ef_per_ev_cell": 4.79, "e_form_raw_kj_per_mol_fu": -51, "lattice": [[6.1908, 0.0000, 0.0000], [0.0000, 6.1908, 0.0000], [0.0000, 0.0000, 6.1908]], "species": ["Si", "Si", "Si", "Si", "Te", "Te", "Te", "Te", "Rh", "Rh", "Rh", "Rh"], "frac_coords": [[0.0000, 0.0000, 0.0000], [0.0000, 0.5000, 0.5000], [0.5000, 0.0000, 0.5000], [0.5000, 0.5000, 0.0000], [0.0000, 0.0000, 0.5000], [0.0000, 0.5000, 0.0000], [0.5000, 0.0000, 0.0000], [0.5000, 0.5000, 0.5000], [0.2500, 0.2500, 0.7500], [0.2500, 0.7500, 0.2500], [0.7500, 0.2500, 0.2500], [0.7500, 0.7500, 0.7500]]}